Run a
This record from Alexandria via LeMat-Bulk describes a relaxed Zn2CuBi2 crystal. The functional is GGA-PBE.

Structure (POSCAR):
```
Zn2CuBi2
1.0
7.6097 0.0000 0.0000
0.0000 7.6097 0.0000
0.0000 0.0000 4.1812
Zn Bi Cu
4 4 2
direct
0.1189 0.6189 0.5000
0.6189 0.8811 0.5000
0.8811 0.3811 0.5000
0.3811 0.1189 0.5000
0.3077 0.8077 0.0000
0.8077 0.6923 0.0000
0.6923 0.1923 0.0000
0.1923 0.3077 0.0000
0.0000 0.0000 0.0000
0.5000 0.5000 0.0000
```

Summary:
total moment	0.0	μB/cell

Run b
This record from Alexandria via LeMat-Bulk describes a relaxed Zn2CuBi2 crystal. The functional is GGA-PBE.

Structure (POSCAR):
```
Zn2CuBi2
1.0
3.5473 0.0000 0.0000
0.0000 3.5473 0.0000
1.7736 1.7736 9.0190
Zn Bi Cu
2 2 1
direct
0.7500 0.2500 0.5000
0.2500 0.7500 0.5000
0.4071 0.4071 0.1857
0.5929 0.5929 0.8143
0.0000 0.0000 0.0000
```

Summary:
total moment	0.0	μB/cell

Most stable to least stable, the ends of the list are run b and run a.

Run a
This record from Alexandria via LeMat-Bulk describes a relaxed ZrCu2Bi2 crystal. The functional is GGA-PBE.

Structure (POSCAR):
```
ZrCu2Bi2
1.0
-1.9848 6.7509 -2.1064
-1.8271 -2.6030 -6.6210
-3.5754 -0.6621 1.2470
Cu Bi Zr
4 4 2
direct
0.3826 0.8826 0.0000
0.8826 0.6174 0.0000
0.6174 0.1174 0.0000
0.1174 0.3826 0.0000
0.1812 0.6812 0.5000
0.6812 0.8188 0.5000
0.8188 0.3188 0.5000
0.3188 0.1812 0.5000
0.0000 0.0000 0.0000
0.5000 0.5000 0.0000
```

Summary:
total moment	0.0	μB/cell

Run b
This record from Alexandria via LeMat-Bulk describes a relaxed ZrCu2Bi2 crystal. The functional is GGA-PBE.

Structure (POSCAR):
```
ZrCu2Bi2
1.0
3.7105 0.0000 0.0000
0.0000 3.7105 0.0000
1.8552 1.8552 7.7918
Cu Bi Zr
2 2 1
direct
0.7500 0.2500 0.5000
0.2500 0.7500 0.5000
0.3884 0.3884 0.2232
0.6116 0.6116 0.7768
0.0000 0.0000 0.0000
```

Summary:
total moment	0.0	μB/cell

Most stable to least stable, the ends of the list are run a and run b.

Run a
This record from Alexandria via LeMat-Bulk describes a relaxed DyEr3Bi4 crystal. The functional is GGA-PBE.

Structure (POSCAR):
```
DyEr3Bi4
1.0
-1.2612 -0.0004 -4.2711
-1.1323 -7.6164 0.3351
-6.5098 3.6513 1.9219
Dy Er Bi
1 3 4
direct
0.5000 0.0000 0.0000
0.0000 0.0000 0.5000
0.5000 0.5000 0.5000
0.0000 0.5000 0.0000
0.0000 0.2514 0.2514
0.5000 0.7493 0.2507
0.0000 0.7486 0.7486
0.5000 0.2507 0.7493
```

Summary:
total moment	0.0	μB/cell

Run b
This record from Alexandria via LeMat-Bulk describes a relaxed DyEr3Bi4 crystal. The functional is GGA-PBE.

Structure (POSCAR):
```
DyEr3Bi4
1.0
6.2896 0.0000 0.0000
0.0000 6.2896 0.0000
0.0000 0.0000 6.2896
Er Bi Dy
3 4 1
direct
0.0000 0.5000 0.5000
0.5000 0.0000 0.5000
0.5000 0.5000 0.0000
0.5000 0.0000 0.0000
0.0000 0.5000 0.0000
0.0000 0.0000 0.5000
0.5000 0.5000 0.5000
0.0000 0.0000 0.0000
```

Summary:
total moment	0.0	μB/cell

Most stable to least stable, the ends of the list are run b and run a.

Run a
This record from Alexandria via LeMat-Bulk describes a relaxed Dy2ErBi crystal. The functional is GGA-PBE.

Structure (POSCAR):
```
Dy2ErBi
1.0
-4.6233 -0.0630 -0.2853
-0.1101 -3.7681 2.6161
1.6545 6.4665 9.3838
Dy Er Bi
4 2 2
direct
0.5616 0.2500 0.1232
0.4384 0.7500 0.8768
0.0595 0.7500 0.1191
0.9405 0.2500 0.8809
0.6905 0.7500 0.3802
0.3095 0.2500 0.6198
0.1713 0.2500 0.3414
0.8287 0.7500 0.6586
```

Summary:
total moment	0.0	μB/cell

Run b
This record from Alexandria via LeMat-Bulk describes a relaxed Dy2ErBi crystal. The functional is GGA-PBE.

Structure (POSCAR):
```
Dy2ErBi
1.0
4.1948 0.0000 0.0000
0.0000 4.1948 0.0000
0.0000 0.0000 6.7337
Dy Bi Er
2 1 1
direct
0.0000 0.0000 0.7586
0.0000 0.0000 0.2414
0.5000 0.5000 0.0000
0.5000 0.5000 0.5000
```

Summary:
total moment	0.0	μB/cell

Most stable to least stable, the ends of the list are run a and run b.

Run a
This record from Alexandria via LeMat-Bulk describes a relaxed Dy2ErBi crystal. The functional is GGA-PBE.

Structure (POSCAR):
```
Dy2ErBi
1.0
3.6369 0.0000 0.0000
1.8185 3.1497 0.0000
1.8185 1.0499 10.7403
Dy Er Bi
2 1 1
direct
0.0809 0.0809 0.7573
0.2526 0.2526 0.2421
0.4998 0.4998 0.5005
0.6666 0.6666 0.0002
```

Summary:
total moment	0.0	μB/cell

Run b
This record from Alexandria via LeMat-Bulk describes a relaxed Dy2ErBi crystal. The functional is GGA-PBE.

Structure (POSCAR):
```
Dy2ErBi
1.0
-0.6151 3.1925 -1.3589
-1.7151 2.4225 1.8990
9.6499 5.7714 4.6223
Dy Bi Er
2 1 1
direct
0.0879 0.0879 0.7363
0.9121 0.9121 0.2637
0.0000 0.0000 0.0000
0.5000 0.5000 0.5000
```

Summary:
total moment	0.0	μB/cell

Most stable to least stable, the ends of the list are run a and run b.

Run a
This record from Alexandria via LeMat-Bulk describes a relaxed Dy3ErBi4 crystal. The functional is GGA-PBE.

Structure (POSCAR):
```
Dy3ErBi4
1.0
4.4681 0.0000 0.0000
0.0000 7.7327 -0.0736
0.0000 -2.5078 7.3151
Dy Er Bi
3 1 4
direct
0.0000 0.0000 0.5000
0.5000 0.5000 0.5000
0.0000 0.5000 0.0000
0.5000 0.0000 0.0000
0.0000 0.2486 0.2486
0.5000 0.7507 0.2493
0.0000 0.7514 0.7514
0.5000 0.2493 0.7507
```

Summary:
total moment	0.0	μB/cell

Run b
This record from Alexandria via LeMat-Bulk describes a relaxed Dy3ErBi4 crystal. The functional is GGA-PBE.

Structure (POSCAR):
```
Dy3ErBi4
1.0
-1.5948 -5.0112 3.4885
3.2568 -3.7479 -3.8950
5.1647 0.8160 3.5334
Er Bi Dy
1 4 3
direct
0.0000 0.0000 0.0000
0.5000 0.0000 0.0000
0.0000 0.5000 0.0000
0.0000 0.0000 0.5000
0.5000 0.5000 0.5000
0.0000 0.5000 0.5000
0.5000 0.0000 0.5000
0.5000 0.5000 0.0000
```

Summary:
total moment	0.0	μB/cell

Most stable to least stable, the ends of the list are run b and run a.

Run a
This record from Alexandria via LeMat-Bulk describes a relaxed EuDy2Bi crystal. The functional is GGA-PBE.

Structure (POSCAR):
```
EuDy2Bi
1.0
3.5865 0.0000 0.0000
1.7932 3.1060 0.0000
1.7932 1.0353 12.3102
Eu Bi Dy
1 1 2
direct
0.5000 0.5000 0.5000
0.0000 0.0000 0.0000
0.0849 0.0849 0.7452
0.9151 0.9151 0.2548
```

Summary:
total moment	7.5	μB/cell

Run b
This record from Alexandria via LeMat-Bulk describes a relaxed EuDy2Bi crystal. The functional is GGA-PBE.

Structure (POSCAR):
```
EuDy2Bi
1.0
-0.5141 3.8932 2.9149
-2.4917 -2.7777 3.2706
4.2592 -1.1413 2.2756
Eu Bi Dy
1 1 2
direct
0.5000 0.5000 0.5000
0.5000 0.0000 0.0000
0.0000 0.0000 0.5000
0.0000 0.5000 0.0000
```

Summary:
total moment	7.6	μB/cell

Most stable to least stable, the ends of the list are run b and run a.

Run a
This record from Alexandria via LeMat-Bulk describes a relaxed EuDyBi2 crystal. The functional is GGA-PBE.

Structure (POSCAR):
```
EuDyBi2
1.0
-2.8577 2.1666 4.3114
-2.3225 -3.3934 3.8130
2.1218 -0.2604 5.1845
Eu Bi Dy
1 2 1
direct
0.0000 0.0000 0.0000
0.2500 0.2500 0.2500
0.7500 0.7500 0.7500
0.5000 0.5000 0.5000
```

Summary:
total moment	7.1	μB/cell

Run b
This record from Alexandria via LeMat-Bulk describes a relaxed EuDyBi2 crystal. The functional is GGA-PBE.

Structure (POSCAR):
```
EuDyBi2
1.0
-2.6218 -1.1825 1.9730
3.8943 -1.7620 4.1188
-0.3997 5.2990 2.6448
Eu Bi Dy
1 2 1
direct
0.5000 0.0000 0.0000
0.0000 0.0000 0.5000
0.0000 0.5000 0.0000
0.5000 0.5000 0.5000
```

Summary:
total moment	7.1	μB/cell

Most stable to least stable, the ends of the list are run b and run a.